Entry 1:
DyErPtAu | GGA-PBE | relaxed

The energy above the most stable polymorph in this dataset is 0 kJ/mol of formula units. The energy of formation comes out at -1.0997 eV per atom. For the density of states at the Fermi level, the calculation gives 2.0 states/eV/f.u. For the total energy, the calculation gives -5.72 eV per atom.

Cell: 4.5824 3.7441 10.6514 Å, 90.00 90.00 90.00°
With the nearest neighbours (Å) after each atom.
Space group Amm2 (No. 38)
Inequivalent atoms, fractional coordinates:
Dy1 0.0000 0.0000 0.0000 [2 per cell]  3 Pt 2.89-3.07, 4 Au 3.01
Er1 0.5000 0.0000 0.7237 [2 per cell]  3 Au 2.93-3.04, 4 Pt 3.00
Pt1 0.0000 0.0000 0.2712 [2 per cell]  3 Dy 2.89-3.07, 2 Au 2.97, 4 Er 3.00
Au1 0.5000 0.0000 0.4483 [2 per cell]  3 Er 2.93-3.04, 2 Pt 2.97, 4 Dy 3.01

---

Entry 2:
InGa2Ir2 | GGA-PBE | relaxed

The energy above the most stable polymorph in this dataset is 0 kJ/mol of formula units. The energy of formation comes out at -0.2890 eV per atom. For the density of states at the Fermi level, the calculation gives 1.5 states/eV/f.u. For the total energy, the calculation gives -5.59 eV per atom.

Cell: 7.4256 7.4256 2.9771 Å, 90.00 90.00 90.00°
With the nearest neighbours (Å) after each atom.
Space group P4/mbm (No. 127)
Inequivalent atoms, fractional coordinates:
In1 0.0000 0.0000 0.0000 [2 per cell]  4 Ir 2.82, 2 In 2.98
Ga1 0.1449 0.3551 0.5000 [4 per cell]  6 Ir 2.61-2.65
Ir1 0.1507 0.6507 0.0000 [4 per cell]  6 Ga 2.61-2.65, 2 In 2.82